# U2Co3CuSi4

Crystalline U2Co3CuSi4 at its relaxed geometry (PBE, Alexandria).

Calculated values
Energy relative to the elements, uncorrected   -0.513 eV/atom
SG   P-4m2 (115)
Total moment   0.2427 μB/atom

a b c (Å): 3.9185 3.9185 9.5301
angles (deg): 90.00 90.00 90.00
Closest atoms and distances in Å follow each position.
Atoms (fractional coordinates):
Co 0.0000 0.0000 0.5000  4 Si 2.34
Co 0.0000 0.5000 0.1285  5 Si 2.25-2.31
Co 0.5000 0.0000 0.8715  5 Si 2.25-2.31
Si 0.5000 0.5000 0.0000  4 Co 2.31
Si 0.0000 0.5000 0.3650  3 Co 2.25-2.34, 2 Cu 2.34
Si 0.5000 0.0000 0.6350  3 Co 2.25-2.34, 2 Cu 2.34
Si 0.0000 0.0000 0.0000  4 Co 2.31
Cu 0.5000 0.5000 0.5000  4 Si 2.34
U 0.0000 0.5000 0.7542  6 Co 2.99-3.12, 8 Si 2.99-3.05, 2 Cu 3.12
U 0.5000 0.0000 0.2458  6 Co 2.99-3.12, 8 Si 2.99-3.05, 2 Cu 3.12